# BOs3Pd | Alexandria via LeMat-Bulk | GGA-PBE | optimized geometry
# - magnetization (μB/f.u.) = 0.0
# - E_tot (eV per formula unit) = -43.21
# - energy of formation from the pure elements (meV/atom) = 470
data_BOs3Pd
_space_group_name_H-M_alt 'P m -3 m'
_space_group_IT_number 221
_space_group_name_Hall '-P 4 2 3'
_cell_length_a 4.0836
_cell_length_b 4.0836
_cell_length_c 4.0836
_cell_angle_alpha 90.00
_cell_angle_beta 90.00
_cell_angle_gamma 90.00
loop_
_atom_site_label
_atom_site_type_symbol
_atom_site_fract_x
_atom_site_fract_y
_atom_site_fract_z
_atom_site_occupancy
B1 B 0.0000 0.0000 0.0000 1
Os1 Os 0.0000 0.0000 0.5000 1
Pd1 Pd 0.5000 0.5000 0.5000 1

# BOs3Pd | Alexandria via LeMat-Bulk | GGA-PBE | optimized geometry
# - magnetization (μB/f.u.) = 5.6
# - E_tot (eV per formula unit) = -27.55
# - energy of formation from the pure elements (meV/atom) = 3601
data_BOs3Pd
_space_group_name_H-M_alt 'P m -3 m'
_space_group_IT_number 221
_space_group_name_Hall '-P 4 2 3'
_cell_length_a 4.7487
_cell_length_b 4.7487
_cell_length_c 4.7487
_cell_angle_alpha 90.00
_cell_angle_beta 90.00
_cell_angle_gamma 90.00
loop_
_atom_site_label
_atom_site_type_symbol
_atom_site_fract_x
_atom_site_fract_y
_atom_site_fract_z
_atom_site_occupancy
B1 B 0.0000 0.0000 0.0000 1
Os1 Os 0.0000 0.5000 0.5000 1
Pd1 Pd 0.5000 0.5000 0.5000 1

# BOsPdS2 | Alexandria via LeMat-Bulk | GGA-PBE | optimized geometry
# - magnetization (μB/f.u.) = 3.4
# - E_tot (eV per formula unit) = -20.63
data_BOsPdS2
_space_group_name_H-M_alt 'P 4/m m m'
_space_group_IT_number 123
_space_group_name_Hall '-P 4 2'
_cell_length_a 4.5550
_cell_length_b 4.5550
_cell_length_c 5.1035
_cell_angle_alpha 90.00
_cell_angle_beta 90.00
_cell_angle_gamma 90.00
loop_
_atom_site_label
_atom_site_type_symbol
_atom_site_fract_x
_atom_site_fract_y
_atom_site_fract_z
_atom_site_occupancy
B1 B 0.0000 0.0000 0.0000 1
Os1 Os 0.5000 0.5000 0.0000 1
Pd1 Pd 0.5000 0.5000 0.5000 1
S1 S 0.0000 0.5000 0.5000 1

# SiBOs2Pd | Alexandria via LeMat-Bulk | GGA-PBE | optimized geometry
# - magnetization (μB/f.u.) = 0.0
# - E_tot (eV per formula unit) = -32.70
data_SiBOs2Pd
_space_group_name_H-M_alt 'P 4/m m m'
_space_group_IT_number 123
_space_group_name_Hall '-P 4 2'
_cell_length_a 4.4877
_cell_length_b 4.4877
_cell_length_c 3.7051
_cell_angle_alpha 90.00
_cell_angle_beta 90.00
_cell_angle_gamma 90.00
loop_
_atom_site_label
_atom_site_type_symbol
_atom_site_fract_x
_atom_site_fract_y
_atom_site_fract_z
_atom_site_occupancy
Si1 Si 0.0000 0.0000 0.0000 1
B1 B 0.0000 0.0000 0.5000 1
Os1 Os 0.0000 0.5000 0.0000 1
Pd1 Pd 0.5000 0.5000 0.5000 1

# PmB3Os2 | Alexandria via LeMat-Bulk | GGA-PBE | optimized geometry
# - magnetization (μB/f.u.) = 0.0
# - E_tot (eV per formula unit) = -49.07
# - energy of formation from the pure elements (meV/atom) = -305
data_PmB3Os2
_space_group_name_H-M_alt 'C m c m'
_space_group_IT_number 63
_space_group_name_Hall '-C 2c 2'
_cell_length_a 8.6036
_cell_length_b 6.2523
_cell_length_c 5.5174
_cell_angle_alpha 90.00
_cell_angle_beta 90.00
_cell_angle_gamma 90.00
loop_
_atom_site_label
_atom_site_type_symbol
_atom_site_fract_x
_atom_site_fract_y
_atom_site_fract_z
_atom_site_occupancy
Pm1 Pm 0.0000 0.1570 0.2500 1
B1 B 0.0000 0.3587 0.7500 1
B2 B 0.1785 0.2048 0.7500 1
Os1 Os 0.1900 0.5000 0.0000 1

# Pm2B4Os5 | Alexandria via LeMat-Bulk | GGA-PBE | optimized geometry
# - magnetization (μB/f.u.) = 0.0
# - E_tot (eV per formula unit) = -96.12
# - energy of formation from the pure elements (meV/atom) = -342
data_Pm2B4Os5
_space_group_name_H-M_alt 'F m m m'
_space_group_IT_number 69
_space_group_name_Hall '-F 2 2'
_cell_length_a 5.4766
_cell_length_b 10.0284
_cell_length_c 11.5017
_cell_angle_alpha 90.00
_cell_angle_beta 90.00
_cell_angle_gamma 90.00
loop_
_atom_site_label
_atom_site_type_symbol
_atom_site_fract_x
_atom_site_fract_y
_atom_site_fract_z
_atom_site_occupancy
Pm1 Pm 0.0000 0.0000 0.1432 1
B1 B 0.0000 0.1565 0.3666 1
Os1 Os 0.0000 0.0000 0.5000 1
Os2 Os 0.2500 0.2500 0.0000 1
Os3 Os 0.2500 0.2500 0.2500 1

# PmB4Os | Alexandria via LeMat-Bulk | GGA-PBE | optimized geometry
# - magnetization (μB/f.u.) = 0.0
# - E_tot (eV per formula unit) = -42.30
# - energy of formation from the pure elements (meV/atom) = 64
data_PmB4Os
_space_group_name_H-M_alt 'I m m m'
_space_group_IT_number 71
_space_group_name_Hall '-I 2 2'
_cell_length_a 3.1811
_cell_length_b 5.4000
_cell_length_c 7.4619
_cell_angle_alpha 90.00
_cell_angle_beta 90.00
_cell_angle_gamma 90.00
loop_
_atom_site_label
_atom_site_type_symbol
_atom_site_fract_x
_atom_site_fract_y
_atom_site_fract_z
_atom_site_occupancy
Pm1 Pm 0.0000 0.0000 0.0000 1
B1 B 0.0000 0.3354 0.2483 1
Os1 Os 0.0000 0.0000 0.5000 1

# PmB4Os | Alexandria via LeMat-Bulk | GGA-PBE | optimized geometry
# - magnetization (μB/f.u.) = 0.0
# - E_tot (eV per formula unit) = -45.71
# - energy of formation from the pure elements (meV/atom) = -504
data_PmB4Os
_space_group_name_H-M_alt 'P b a m'
_space_group_IT_number 55
_cell_length_a 6.0531
_cell_length_b 11.7077
_cell_length_c 3.6193
_cell_angle_alpha 90.00
_cell_angle_beta 90.00
_cell_angle_gamma 90.00
loop_
_space_group_symop_operation_xyz
'x,y,z'
'-x,-y,-z'
'-x,-y,z'
'x,y,-z'
'x+1/2,-y+1/2,-z'
'-x+1/2,y+1/2,z'
'-x+1/2,y+1/2,-z'
'x+1/2,-y+1/2,z'
loop_
_atom_site_label
_atom_site_type_symbol
_atom_site_fract_x
_atom_site_fract_y
_atom_site_fract_z
_atom_site_occupancy
Pm1 Pm 0.1269 0.1502 0.0000 1
B1 B 0.0256 0.6895 0.5000 1
B2 B 0.1110 0.5456 0.5000 1
B3 B 0.1390 0.9692 0.5000 1
B4 B 0.2154 0.8154 0.5000 1
Os1 Os 0.1392 0.4075 0.0000 1

# Pm2B4Os3 | Alexandria via LeMat-Bulk | GGA-PBE | optimized geometry
# - magnetization (μB/f.u.) = 0.6
# - E_tot (eV per formula unit) = -69.36
# - energy of formation from the pure elements (meV/atom) = 60
data_Pm2B4Os3
_space_group_name_H-M_alt 'F m m m'
_space_group_IT_number 69
_space_group_name_Hall '-F 2 2'
_cell_length_a 5.6972
_cell_length_b 9.4099
_cell_length_c 9.7011
_cell_angle_alpha 90.00
_cell_angle_beta 90.00
_cell_angle_gamma 90.00
loop_
_atom_site_label
_atom_site_type_symbol
_atom_site_fract_x
_atom_site_fract_y
_atom_site_fract_z
_atom_site_occupancy
Pm1 Pm 0.0000 0.0000 0.1588 1
B1 B 0.0000 0.2181 0.3356 1
Os1 Os 0.0000 0.0000 0.5000 1
Os2 Os 0.2500 0.2500 0.0000 1

# PmB4Os4 | Alexandria via LeMat-Bulk | GGA-PBE | optimized geometry
# - magnetization (μB/f.u.) = 0.0
# - E_tot (eV per formula unit) = -79.84
# - energy of formation from the pure elements (meV/atom) = -385
data_PmB4Os4
_space_group_name_H-M_alt 'P 42/n'
_space_group_IT_number 86
_cell_length_a 7.6102
_cell_length_b 7.6102
_cell_length_c 4.0113
_cell_angle_alpha 90.00
_cell_angle_beta 90.00
_cell_angle_gamma 90.00
loop_
_space_group_symop_operation_xyz
'x,y,z'
'-x,-y,-z'
'-y,x+1/2,z+1/2'
'y,-x+1/2,-z+1/2'
'-x+1/2,-y+1/2,z'
'x+1/2,y+1/2,-z'
'y+1/2,-x,z+1/2'
'-y+1/2,x,-z+1/2'
loop_
_atom_site_label
_atom_site_type_symbol
_atom_site_fract_x
_atom_site_fract_y
_atom_site_fract_z
_atom_site_occupancy
Pm1 Pm 0.2500 0.2500 0.2500 1
B1 B 0.0310 0.9143 0.1386 1
Os1 Os 0.1038 0.6432 0.1371 1

# Pm3B4Os2 | Alexandria via LeMat-Bulk | GGA-PBE | optimized geometry
# - magnetization (μB/f.u.) = 0.0
# - E_tot (eV per formula unit) = -66.02
# - energy of formation from the pure elements (meV/atom) = -289
data_Pm3B4Os2
_space_group_name_H-M_alt 'C 1 2/m 1'
_space_group_IT_number 12
_cell_length_a 10.1960
_cell_length_b 3.5307
_cell_length_c 8.1225
_cell_angle_alpha 90.00
_cell_angle_beta 95.12
_cell_angle_gamma 90.00
loop_
_space_group_symop_operation_xyz
'x,y,z'
'-x,-y,-z'
'-x,y,-z'
'x,-y,z'
'x+1/2,y+1/2,z'
'-x+1/2,-y+1/2,-z'
'-x+1/2,y+1/2,-z'
'x+1/2,-y+1/2,z'
loop_
_atom_site_label
_atom_site_type_symbol
_atom_site_fract_x
_atom_site_fract_y
_atom_site_fract_z
_atom_site_occupancy
Pm1 Pm 0.0000 0.0000 0.0000 1
Pm2 Pm 0.1196 0.5000 0.3802 1
B1 B 0.1120 0.0000 0.6731 1
B2 B 0.2251 0.5000 0.0411 1
Os1 Os 0.1801 0.5000 0.7824 1

# PmBOs3 | Alexandria via LeMat-Bulk | GGA-PBE | optimized geometry
# - magnetization (μB/f.u.) = 0.0
# - E_tot (eV per formula unit) = -44.81
# - energy of formation from the pure elements (meV/atom) = 60
data_PmBOs3
_space_group_name_H-M_alt 'P m -3 m'
_space_group_IT_number 221
_space_group_name_Hall '-P 4 2 3'
_cell_length_a 4.2612
_cell_length_b 4.2612
_cell_length_c 4.2612
_cell_angle_alpha 90.00
_cell_angle_beta 90.00
_cell_angle_gamma 90.00
loop_
_atom_site_label
_atom_site_type_symbol
_atom_site_fract_x
_atom_site_fract_y
_atom_site_fract_z
_atom_site_occupancy
Pm1 Pm 0.0000 0.0000 0.0000 1
B1 B 0.5000 0.5000 0.5000 1
Os1 Os 0.0000 0.5000 0.5000 1

# PmB14Os | Alexandria via LeMat-Bulk | GGA-PBE | optimized geometry
# - magnetization (μB/f.u.) = 0.0
# - E_tot (eV per formula unit) = -109.91
# - energy of formation from the pure elements (meV/atom) = -28
data_PmB14Os
_space_group_name_H-M_alt 'I m m a'
_space_group_IT_number 74
_space_group_name_Hall '-I 2b 2'
_cell_length_a 5.8762
_cell_length_b 10.8899
_cell_length_c 8.3222
_cell_angle_alpha 90.00
_cell_angle_beta 90.00
_cell_angle_gamma 90.00
loop_
_atom_site_label
_atom_site_type_symbol
_atom_site_fract_x
_atom_site_fract_y
_atom_site_fract_z
_atom_site_occupancy
Pm1 Pm 0.0000 0.2500 0.1211 1
B1 B 0.0000 0.0830 0.6683 1
B2 B 0.0000 0.1196 0.8657 1
B3 B 0.0000 0.1662 0.4596 1
B4 B 0.1628 0.0615 0.3392 1
B5 B 0.2455 0.0784 0.5485 1
Os1 Os 0.2500 0.2500 0.7500 1

# PmB3Os3 | Alexandria via LeMat-Bulk | GGA-PBE | optimized geometry
# - magnetization (μB/f.u.) = 0.0
# - E_tot (eV per formula unit) = -59.27
# - energy of formation from the pure elements (meV/atom) = -113
data_PmB3Os3
_space_group_name_H-M_alt 'P 1 21/m 1'
_space_group_IT_number 11
_cell_length_a 7.3315
_cell_length_b 3.9612
_cell_length_c 7.4543
_cell_angle_alpha 90.00
_cell_angle_beta 105.65
_cell_angle_gamma 90.00
loop_
_space_group_symop_operation_xyz
'x,y,z'
'-x,-y,-z'
'-x,y+1/2,-z'
'x,-y+1/2,z'
loop_
_atom_site_label
_atom_site_type_symbol
_atom_site_fract_x
_atom_site_fract_y
_atom_site_fract_z
_atom_site_occupancy
Pm1 Pm 0.1550 0.2500 0.3510 1
B1 B 0.1900 0.2500 0.7247 1
B2 B 0.2626 0.7500 0.0516 1
B3 B 0.4455 0.7500 0.5575 1
Os1 Os 0.2721 0.7500 0.7532 1
Os2 Os 0.3583 0.2500 0.0196 1
Os3 Os 0.4896 0.7500 0.2870 1

# Pm2B3Os | Alexandria via LeMat-Bulk | GGA-PBE | optimized geometry
# - magnetization (μB/f.u.) = 0.0
# - E_tot (eV per formula unit) = -42.39
# - energy of formation from the pure elements (meV/atom) = -270
data_Pm2B3Os
_space_group_name_H-M_alt 'P 63/m m c'
_space_group_IT_number 194
_space_group_name_Hall '-P 6c 2c'
_cell_length_a 3.5291
_cell_length_b 3.5291
_cell_length_c 17.2263
_cell_angle_alpha 90.00
_cell_angle_beta 90.00
_cell_angle_gamma 120.00
loop_
_atom_site_label
_atom_site_type_symbol
_atom_site_fract_x
_atom_site_fract_y
_atom_site_fract_z
_atom_site_occupancy
Pm1 Pm 0.0000 0.0000 0.1141 1
B1 B 0.3333 0.6667 0.0006 1
B2 B 0.3333 0.6667 0.7500 1
Os1 Os 0.3333 0.6667 0.2500 1

# Pm3B7Os | Alexandria via LeMat-Bulk | GGA-PBE | optimized geometry
# - magnetization (μB/f.u.) = 0.0
# - E_tot (eV per formula unit) = -77.45
# - energy of formation from the pure elements (meV/atom) = -475
data_Pm3B7Os
_space_group_name_H-M_alt 'C m c m'
_space_group_IT_number 63
_space_group_name_Hall '-C 2c 2'
_cell_length_a 3.5930
_cell_length_b 16.1952
_cell_length_c 9.5376
_cell_angle_alpha 90.00
_cell_angle_beta 90.00
_cell_angle_gamma 90.00
loop_
_atom_site_label
_atom_site_type_symbol
_atom_site_fract_x
_atom_site_fract_y
_atom_site_fract_z
_atom_site_occupancy
Pm1 Pm 0.0000 0.1047 0.0616 1
Pm2 Pm 0.0000 0.2446 0.7500 1
B1 B 0.0000 0.2735 0.0330 1
B2 B 0.0000 0.3682 0.1524 1
B3 B 0.0000 0.4632 0.7500 1
B4 B 0.0000 0.4764 0.0997 1
Os1 Os 0.0000 0.0564 0.7500 1

# Pm2B3Os | Alexandria via LeMat-Bulk | GGA-PBE | optimized geometry
# - magnetization (μB/f.u.) = 0.0
# - E_tot (eV per formula unit) = -41.53
# - energy of formation from the pure elements (meV/atom) = -129
data_Pm2B3Os
_space_group_name_H-M_alt 'F m m m'
_space_group_IT_number 69
_space_group_name_Hall '-F 2 2'
_cell_length_a 7.3344
_cell_length_b 8.4968
_cell_length_c 11.8576
_cell_angle_alpha 90.00
_cell_angle_beta 90.00
_cell_angle_gamma 90.00
loop_
_atom_site_label
_atom_site_type_symbol
_atom_site_fract_x
_atom_site_fract_y
_atom_site_fract_z
_atom_site_occupancy
Pm1 Pm 0.0000 0.2301 0.0000 1
Pm2 Pm 0.2500 0.2500 0.2500 1
B1 B 0.0000 0.0000 0.1690 1
B2 B 0.2244 0.0000 0.0782 1
Os1 Os 0.0000 0.0000 0.3559 1

# Pm2B2Os | Alexandria via LeMat-Bulk | GGA-PBE | optimized geometry
# - magnetization (μB/f.u.) = 0.0
# - E_tot (eV per formula unit) = -35.17
# - energy of formation from the pure elements (meV/atom) = -218
data_Pm2B2Os
_space_group_name_H-M_alt 'C 1 2/m 1'
_space_group_IT_number 12
_cell_length_a 11.8872
_cell_length_b 3.7648
_cell_length_c 9.4481
_cell_angle_alpha 90.00
_cell_angle_beta 122.41
_cell_angle_gamma 90.00
loop_
_space_group_symop_operation_xyz
'x,y,z'
'-x,-y,-z'
'-x,y,-z'
'x,-y,z'
'x+1/2,y+1/2,z'
'-x+1/2,-y+1/2,-z'
'-x+1/2,y+1/2,-z'
'x+1/2,-y+1/2,z'
loop_
_atom_site_label
_atom_site_type_symbol
_atom_site_fract_x
_atom_site_fract_y
_atom_site_fract_z
_atom_site_occupancy
Pm1 Pm 0.0078 0.0000 0.1777 1
Pm2 Pm 0.1768 0.0000 0.5929 1
B1 B 0.0272 0.5000 0.6088 1
B2 B 0.1802 0.5000 0.0695 1
Os1 Os 0.2138 0.5000 0.8643 1

# PmB2Os2 | Alexandria via LeMat-Bulk | GGA-PBE | optimized geometry
# - magnetization (μB/f.u.) = 0.0
# - E_tot (eV per formula unit) = -42.37
# - energy of formation from the pure elements (meV/atom) = -362
data_PmB2Os2
_space_group_name_H-M_alt 'I 4/m m m'
_space_group_IT_number 139
_space_group_name_Hall '-I 4 2'
_cell_length_a 4.0289
_cell_length_b 4.0289
_cell_length_c 9.7731
_cell_angle_alpha 90.00
_cell_angle_beta 90.00
_cell_angle_gamma 90.00
loop_
_atom_site_label
_atom_site_type_symbol
_atom_site_fract_x
_atom_site_fract_y
_atom_site_fract_z
_atom_site_occupancy
Pm1 Pm 0.0000 0.0000 0.0000 1
B1 B 0.0000 0.0000 0.3198 1
Os1 Os 0.0000 0.5000 0.2500 1

# PmB3Os2 | Alexandria via LeMat-Bulk | GGA-PBE | optimized geometry
# - magnetization (μB/f.u.) = 0.0
# - E_tot (eV per formula unit) = -47.69
# - energy of formation from the pure elements (meV/atom) = -75
data_PmB3Os2
_space_group_name_H-M_alt 'I m m a'
_space_group_IT_number 74
_space_group_name_Hall '-I 2b 2'
_cell_length_a 5.3376
_cell_length_b 10.0125
_cell_length_c 5.8945
_cell_angle_alpha 90.00
_cell_angle_beta 90.00
_cell_angle_gamma 90.00
loop_
_atom_site_label
_atom_site_type_symbol
_atom_site_fract_x
_atom_site_fract_y
_atom_site_fract_z
_atom_site_occupancy
Pm1 Pm 0.0000 0.2500 0.1447 1
B1 B 0.1676 0.0000 0.0000 1
B2 B 0.2500 0.2500 0.7500 1
Os1 Os 0.0000 0.0858 0.6897 1